(1)
First-principles (PBE-GGA) data for an optimized crystal structure of Li2La2NdIn2, as listed in Alexandria.

The structure in POSCAR format:
```
Li2La2NdIn2
1.0
-4.645 1.767 -0.203
-3.713 -2.936 -1.527
-4.166 -3.042 7.879
Li La Nd In
2 2 1 2
direct
0.607 0.607 0.180
0.393 0.393 0.820
0.131 0.131 0.606
0.869 0.869 0.394
0.000 0.000 0.000
0.734 0.734 0.797
0.266 0.266 0.203
```

Properties
**V**: 192.2 Å³/cell
**Energy of formation from the pure elements**: -0.282 eV per atom
**Spin magnetization**: 0.00 μB per cell
**Theoretical density**: 5.8 g/cm3
**Space-group type**: R-3m, No. 166


(2)
First-principles (PBE-GGA) data for an optimized crystal structure of Li2LaNd2In2, as listed in Alexandria.

The structure in POSCAR format:
```
Li2LaNd2In2
1.0
-4.634 0.563 1.823
-1.066 -1.530 4.652
0.336 7.784 5.336
Li La Nd In
2 1 2 2
direct
0.601 0.601 0.197
0.399 0.399 0.803
0.000 0.000 0.000
0.128 0.128 0.616
0.872 0.872 0.384
0.739 0.739 0.784
0.261 0.261 0.216
```

Properties
**V**: 195.5 Å³/cell
**Energy of formation from the pure elements**: -0.263 eV per atom
**Spin magnetization**: 0.00 μB per cell
**Theoretical density**: 5.7 g/cm3
**Space-group type**: R-3m, No. 166


(3)
First-principles (PBE-GGA) data for an optimized crystal structure of Li3La2InNi12, as listed in Alexandria.

The structure in POSCAR format:
```
Li3La2InNi12
1.0
-1.315 1.672 -9.073
3.743 -1.777 -8.348
-1.836 -4.380 -8.019
Li La In Ni
3 2 1 12
direct
0.500 0.000 0.000
0.000 0.500 0.000
0.000 0.000 0.500
0.637 0.637 0.637
0.363 0.363 0.363
0.000 0.000 0.000
0.416 0.416 0.796
0.867 0.867 0.471
0.471 0.867 0.867
0.796 0.416 0.416
0.867 0.471 0.867
0.416 0.796 0.416
0.584 0.584 0.204
0.133 0.133 0.529
0.529 0.133 0.133
0.204 0.584 0.584
0.133 0.529 0.133
0.584 0.204 0.584
```

Properties
**V**: 283.5 Å³/cell
**Energy of formation from the pure elements**: 0.118 eV per atom
**Spin magnetization**: 0.00 μB per cell
**Theoretical density**: 6.5 g/cm3
**Space-group type**: R-3m, No. 166


(4)
First-principles (PBE-GGA) data for an optimized crystal structure of Li2LaInO, as listed in Alexandria.

The structure in POSCAR format:
```
Li2LaInO
1.0
6.250 0.000 0.000
0.000 4.206 0.000
0.000 0.000 6.250
In Li O La
1 2 1 1
direct
0.500 0.500 0.500
0.000 0.000 0.500
0.500 0.000 0.000
0.000 0.500 0.000
0.000 0.000 0.000
```

Properties
**V**: 164.3 Å³/cell
**Distance to the lowest polymorph of the same formula**: 686 meV per atom
**Spin magnetization**: 0.00 μB per cell
**Theoretical density**: 2.9 g/cm3
**Space-group type**: P4/mmm, No. 123


(5)
First-principles (PBE-GGA) data for an optimized crystal structure of Li2LaInO, as listed in Alexandria.

The structure in POSCAR format:
```
Li2LaInO
1.0
-0.587 4.775 -0.382
-1.823 -0.579 -4.431
-4.198 -0.374 1.776
In Li O La
1 2 1 1
direct
0.500 0.500 0.500
0.000 0.500 0.000
0.500 0.000 0.000
0.000 0.000 0.000
0.000 0.000 0.500
```

Properties
**V**: 106.5 Å³/cell
**Distance to the lowest polymorph of the same formula**: 0 meV per atom
**Spin magnetization**: 0.50 μB per cell
**Theoretical density**: 4.4 g/cm3
**Space-group type**: P4/mmm, No. 123


(6)
First-principles (PBE-GGA) data for an optimized crystal structure of LiLa2InO, as listed in Alexandria.

The structure in POSCAR format:
```
LiLa2InO
1.0
5.054 0.000 0.000
0.000 5.054 0.000
0.000 0.000 4.544
In Li O La
1 1 1 2
direct
0.500 0.500 0.500
0.000 0.000 0.500
0.000 0.000 0.000
0.000 0.500 0.000
0.500 0.000 0.000
```

Properties
**V**: 116.1 Å³/cell
**Spin magnetization**: 0.00 μB per cell
**Theoretical density**: 5.9 g/cm3
**Space-group type**: P4/mmm, No. 123
**Electronic total energy**: -26.3 eV per cell


The highest theoretical density belongs to which entry? Li3La2InNi12